VP2SF (PBE with a Hubbard U, relaxed); E = -4.545 eV/atom
1.0
4.525 0.000 0.000
0.000 4.525 0.000
0.000 0.000 4.412
V P S F
1 2 1 1
Cartesian
0.000 0.000 0.000
0.000 2.263 0.000
2.263 0.000 0.000
0.000 0.000 2.206
2.263 2.263 2.206